1.
VASP calculation (GGA-PBE) on a relaxed structure of Tb3ZnB2Rh9.

a = 6.0282 Å, b = 6.0282 Å, c = 7.7385 Å
α = 90.00°, β = 90.00°, γ = 120.00°
Space group P-3m1 (No. 164)
Unique sites:
Tb (0.0000, 0.0000, 0.0000) x1
Tb (0.3333, 0.6667, 0.6548) x2
Zn (0.0000, 0.0000, 0.5000) x1
B (0.3333, 0.6667, 0.1489) x2
Rh (0.0000, 0.5000, 0.0000) x3
Rh (0.1748, 0.3496, 0.3024) x6

formation enthalpy at 0 K: -0.58 eV per atom
volume: 16.236 A^3/atom



2.
VASP calculation (GGA-PBE) on a relaxed structure of Tb2Zn2BRh4.

a = 6.064 Å, b = 6.064 Å, c = 7.796 Å
α = 90.00°, β = 90.00°, γ = 90.00°
Space group I4/mmm (No. 139)
Unique sites:
Tb (0.000, 0.500, 0.250) x4
Zn (0.000, 0.000, 0.206) x4
B (0.000, 0.000, 0.500) x2
Rh (0.246, 0.246, 0.500) x8

formation enthalpy at 0 K: -0.68 eV per atom
volume: 15.928 A^3/atom



3.
VASP calculation (GGA-PBE) on a relaxed structure of Tb2ZrB2Rh5.

a = 9.699 Å, b = 9.699 Å, c = 3.271 Å
α = 90.00°, β = 90.00°, γ = 90.00°
Space group P4/mbm (No. 127)
Unique sites:
Tb (0.175, 0.325, 0.000) x4
Zr (0.000, 0.000, 0.000) x2
B (0.120, 0.620, 0.000) x4
Rh (0.000, 0.500, 0.500) x2
Rh (0.071, 0.775, 0.500) x8

formation enthalpy at 0 K: -0.80 eV per atom
volume: 15.388 A^3/atom



4.
VASP calculation (GGA-PBE) on a relaxed structure of TcB2Rh.

a = 5.440 Å, b = 5.440 Å, c = 5.440 Å
α = 90.00°, β = 90.00°, γ = 90.00°
Space group Fm-3m (No. 225)
Unique sites:
Tc (0.000, 0.000, 0.000) x4
B (0.250, 0.250, 0.250) x8
Rh (0.000, 0.000, 0.500) x4

formation enthalpy at 0 K: 0.11 eV per atom
volume: 10.063 A^3/atom



5.
VASP calculation (GGA-PBE) on a relaxed structure of Tc3BRh.

a = 4.653 Å, b = 4.653 Å, c = 4.653 Å
α = 90.00°, β = 90.00°, γ = 90.00°
Space group Pm-3m (No. 221)
Unique sites:
Tc (0.000, 0.000, 0.500) x3
B (0.500, 0.500, 0.500) x1
Rh (0.000, 0.000, 0.000) x1

formation enthalpy at 0 K: 2.66 eV per atom
volume: 20.148 A^3/atom
ΔE to the lowest computed polymorph: 2525 meV/atom



6.
VASP calculation (GGA-PBE) on a relaxed structure of Tc3BRh.

a = 4.074 Å, b = 4.074 Å, c = 4.074 Å
α = 90.00°, β = 90.00°, γ = 90.00°
Space group Pm-3m (No. 221)
Unique sites:
Tc (0.000, 0.000, 0.500) x3
B (0.000, 0.000, 0.000) x1
Rh (0.500, 0.500, 0.500) x1

formation enthalpy at 0 K: 0.14 eV per atom
volume: 13.523 A^3/atom
ΔE to the lowest computed polymorph: 0 meV/atom



7.
VASP calculation (GGA-PBE) on a relaxed structure of TiTcBTeRh.

a = 8.090 Å, b = 3.685 Å, c = 5.819 Å
α = 90.00°, β = 109.81°, γ = 90.00°
Space group Cm (No. 8)
Unique sites:
Ti (0.000, 0.000, 0.000) x2
Tc (0.273, 0.500, 0.200) x2
B (0.315, 0.000, 0.031) x2
Te (0.132, 0.000, 0.501) x2
Rh (0.472, 0.000, 0.724) x2

ΔE_f (raw): -61 meV/atom
volume: 16.324 A^3/atom
ΔE to the lowest computed polymorph: 269 meV/atom



8.
VASP calculation (GGA-PBE) on a relaxed structure of TiTcBTeRh.

a = 3.183 Å, b = 4.483 Å, c = 5.727 Å
α = 89.67°, β = 89.90°, γ = 69.21°
Space group P1 (No. 1)
Unique sites:
Ti (0.000, 0.000, 0.000) x1
Tc (0.282, 0.437, 0.232) x1
B (0.719, 0.563, 0.987) x1
Te (0.996, 0.009, 0.489) x1
Rh (0.282, 0.439, 0.742) x1

ΔE_f (raw): -330 meV/atom
volume: 15.280 A^3/atom
ΔE to the lowest computed polymorph: 0 meV/atom



In g/cm³, the mass density values for the records above are, in order, 10.2, 10.1, 10.2, 9.2, 6.7, 10.0, 7.9, 8.4.